KRe2Rh after structural relaxation, computed with PBE.

## Properties
E_tot ... -6.81 eV/atom
Energy relative to the lowest polymorph listed for this composition ... 932 meV/atom
DFT formation energy ... 1.53 eV per atom

Cell: 5.5120 5.5120 5.5120 Å, 139.64 139.64 58.39°
With the nearest neighbours (Å) after each atom.
Element x y z (fractional)
K  0.0000  0.0000  0.0000  4 Rh 2.69
Re  0.2500  0.7500  0.5000  4 Re 2.69
Re  0.7500  0.2500  0.5000  4 Re 2.69
Rh  0.5000  0.5000  0.0000  4 K 2.69



Pm6Tl2Os after structural relaxation, computed with PBE.

## Properties
E_tot ... -5.18 eV/atom
DFT formation energy ... -0.24 eV per atom

Cell: 3.9836 8.7819 8.7819 Å, 119.30 90.00 90.00°
With the nearest neighbours (Å) after each atom.
Element x y z (fractional)
Pm  0.0000  0.0000  0.0000  2 Os 2.86
Pm  0.0000  0.5141  0.7465  2 Os 2.93
Pm  0.0000  0.7465  0.5141  2 Os 2.93
Pm  0.5000  0.1386  0.7499  1 Os 3.33, 4 Tl 3.35-3.39, 4 Pm 3.59-3.62
Pm  0.5000  0.3558  0.3558  4 Tl 3.38, 6 Pm 3.61-3.73, 1 Os 3.66
Pm  0.5000  0.7499  0.1386  1 Os 3.33, 4 Tl 3.35-3.39, 4 Pm 3.59-3.62
Tl  0.0000  0.0811  0.4193  9 Pm 3.35-3.47
Tl  0.0000  0.4193  0.0811  9 Pm 3.35-3.47
Os  0.5000  0.7683  0.7683  6 Pm 2.86-2.93



DyHg3 after structural relaxation, computed with PBE.

## Properties
E_tot ... -1.69 eV/atom
DFT formation energy ... -0.31 eV per atom

Cell: 4.6062 4.6062 4.6062 Å, 90.00 90.00 90.00°
With the nearest neighbours (Å) after each atom.
Element x y z (fractional)
Dy  0.0000  0.0000  0.0000  12 Hg 3.26
Hg  0.0000  0.5000  0.5000  8 Hg 3.26, 4 Dy 3.26
Hg  0.5000  0.0000  0.5000  8 Hg 3.26, 4 Dy 3.26
Hg  0.5000  0.5000  0.0000  8 Hg 3.26, 4 Dy 3.26



CdReNi2 after structural relaxation, computed with PBE.

## Properties
E_tot ... -5.94 eV/atom
DFT formation energy ... 0.29 eV per atom

Cell: 2.6947 3.6054 5.9106 Å, 90.00 90.00 90.00°
With the nearest neighbours (Å) after each atom.
Element x y z (fractional)
Cd  0.0000  0.0000  0.0000  2 Cd 2.69, 5 Ni 2.73-2.86, 4 Re 2.97
Re  0.5000  0.5000  0.6728  5 Ni 2.43-2.51, 2 Re 2.69
Ni  0.0000  0.0000  0.4830  4 Re 2.51, 6 Ni 2.60-2.69
Ni  0.5000  0.5000  0.2613  1 Re 2.43, 6 Ni 2.60-2.69



NdAl3Hg after structural relaxation, computed with PBE.

## Properties
E_tot ... -3.60 eV/atom
DFT formation energy ... -0.34 eV per atom

Cell: 6.4213 6.4213 6.1725 Å, 90.00 90.00 122.50°
With the nearest neighbours (Å) after each atom.
Element x y z (fractional)
Nd  0.2482  0.7518  0.7500  12 Al 3.31-3.59, 4 Hg 3.35-3.37
Nd  0.7518  0.2482  0.2500  12 Al 3.31-3.59, 4 Hg 3.35-3.37
Al  0.2671  0.2671  0.0000  3 Al 2.64-2.88, 2 Hg 2.70
Al  0.2671  0.2671  0.5000  3 Al 2.64-2.88, 2 Hg 2.70
Al  0.3588  0.6412  0.2500  1 Hg 2.56, 4 Al 2.64
Al  0.6412  0.3588  0.7500  1 Hg 2.56, 4 Al 2.64
Al  0.7329  0.7329  0.0000  3 Al 2.64-2.88, 2 Hg 2.70
Al  0.7329  0.7329  0.5000  3 Al 2.64-2.88, 2 Hg 2.70
Hg  0.1317  0.8683  0.2500  5 Al 2.56-2.70
Hg  0.8683  0.1317  0.7500  5 Al 2.56-2.70



CaHfSn after structural relaxation, computed with PBE.

## Properties
E_tot ... -5.71 eV/atom
DFT formation energy ... -0.40 eV per atom

Cell: 4.4908 4.4908 8.1879 Å, 90.00 90.00 90.00°
With the nearest neighbours (Å) after each atom.
Element x y z (fractional)
Ca  0.2500  0.2500  0.1562  5 Sn 3.28-3.37, 4 Hf 3.60
Ca  0.7500  0.7500  0.8438  5 Sn 3.28-3.37, 4 Hf 3.60
Hf  0.2500  0.7500  0.5000  4 Sn 3.01, 4 Hf 3.18
Hf  0.7500  0.2500  0.5000  4 Sn 3.01, 4 Hf 3.18
Sn  0.2500  0.2500  0.7446  4 Hf 3.01, 5 Ca 3.28-3.37
Sn  0.7500  0.7500  0.2554  4 Hf 3.01, 5 Ca 3.28-3.37